Entry 1:
First-principles (PBE) data for an optimized crystal structure of Cs3Ac2SnTe6, as listed in Alexandria via LeMat-Bulk.

Properties
Raw formation energy = -1332 kJ/mol of formula units
DOS(E_F) = 5.8 states/eV per cell
V = 45.10 A^3/atom
Total DFT energy (no corrections) = -3.95 eV/atom

Cell lengths 8.3511, 8.3511, 9.3868 Å; angles 98.55, 98.55, 120.01 degrees
Sites, in units of the cell vectors:
Cs: 0.1699 0.8301 0.5000
Cs: 0.8301 0.1699 0.5000
Cs: 0.5000 0.5000 0.5000
Ac: 0.3338 0.6662 0.0000
Ac: 0.6662 0.3338 0.0000
Sn: 0.0000 0.0000 0.0000
Te: 0.9347 0.6172 0.8040
Te: 0.7488 0.7488 0.1977
Te: 0.0653 0.3828 0.1960
Te: 0.6172 0.9347 0.8040
Te: 0.2512 0.2512 0.8023
Te: 0.3828 0.0653 0.1960

Entry 2:
First-principles (PBE) data for an optimized crystal structure of Nd5Te2Ir, as listed in Alexandria via LeMat-Bulk.

Properties
Raw formation energy = -712 kJ/mol of formula units
DOS(E_F) = 14.3 states/eV per cell
V = 30.10 A^3/atom
Total DFT energy (no corrections) = -5.80 eV/atom

Cell lengths 4.4762, 8.3413, 12.8990 Å; angles 90.00, 90.00, 90.00 degrees
Sites, in units of the cell vectors:
Nd: 0.0000 0.0000 0.5000
Nd: 0.0000 0.5000 0.0000
Nd: 0.0000 0.8549 0.1965
Nd: 0.0000 0.1451 0.8035
Nd: 0.0000 0.6451 0.6965
Nd: 0.0000 0.3549 0.3035
Nd: 0.5000 0.6842 0.4293
Nd: 0.5000 0.3158 0.5707
Nd: 0.5000 0.8158 0.9293
Nd: 0.5000 0.1842 0.0707
Te: 0.5000 0.5669 0.1752
Te: 0.5000 0.4331 0.8248
Te: 0.5000 0.9331 0.6752
Te: 0.5000 0.0669 0.3248
Ir: 0.0000 0.5000 0.5000
Ir: 0.0000 0.0000 0.0000

> Among the records above, which one has the highest DOS(E_F)?

Nd5Te2Ir

What did the second record say?
First-principles (PBE) data for an optimized crystal structure of Nd5Te2Ir, as listed in Alexandria via LeMat-Bulk.

Properties
Raw formation energy = -712 kJ/mol of formula units
DOS(E_F) = 14.3 states/eV per cell
V = 30.10 A^3/atom
Total DFT energy (no corrections) = -5.80 eV/atom

Cell lengths 4.4762, 8.3413, 12.8990 Å; angles 90.00, 90.00, 90.00 degrees
Sites, in units of the cell vectors:
Nd: 0.0000 0.0000 0.5000
Nd: 0.0000 0.5000 0.0000
Nd: 0.0000 0.8549 0.1965
Nd: 0.0000 0.1451 0.8035
Nd: 0.0000 0.6451 0.6965
Nd: 0.0000 0.3549 0.3035
Nd: 0.5000 0.6842 0.4293
Nd: 0.5000 0.3158 0.5707
Nd: 0.5000 0.8158 0.9293
Nd: 0.5000 0.1842 0.0707
Te: 0.5000 0.5669 0.1752
Te: 0.5000 0.4331 0.8248
Te: 0.5000 0.9331 0.6752
Te: 0.5000 0.0669 0.3248
Ir: 0.0000 0.5000 0.5000
Ir: 0.0000 0.0000 0.0000